# 1
This record from the Alexandria database describes a crystal of AlPdSe2 relaxed with PBEsol. The functional is meta-GGA SCAN.

Summary:
* space group: R-3m (166)
* uncorrected formation energy: -0.077 eV/atom

POSCAR file:
```
AlPdSe2
1.0
-0.365 -3.620 -0.591
2.709 -1.881 -1.645
3.902 -3.251 6.016
Pd Se Al
1 2 1
Direct
0.500 0.500 0.500
0.107 0.107 0.678
0.893 0.893 0.322
0.000 0.000 0.000
```

---

# 2
This record from the Alexandria database describes a crystal of Al17Si4Pd8 relaxed with PBEsol. The functional is meta-GGA SCAN.

Summary:
* space group: I4_1/a (88)
* uncorrected formation energy: -0.560 eV/atom

POSCAR file:
```
Al17Si4Pd8
1.0
10.539 -0.009 0.000
-5.124 9.209 0.000
-2.707 -4.600 9.087
Pd Si Al
16 8 34
Direct
0.054 0.750 0.888
0.750 0.784 0.227
0.834 0.946 0.696
0.500 0.966 0.273
0.250 0.139 0.304
0.196 0.000 0.612
0.692 0.227 0.727
0.477 0.250 0.035
0.216 0.442 0.965
0.034 0.308 0.535
0.773 0.500 0.465
0.389 0.584 0.388
0.558 0.523 0.773
0.861 0.166 0.112
0.000 0.611 0.196
0.416 0.804 0.804
0.308 0.776 0.366
0.026 0.159 0.967
0.224 0.591 0.533
0.841 0.808 0.866
0.942 0.974 0.134
0.058 0.692 0.467
0.409 0.942 0.634
0.192 0.058 0.033
0.048 0.571 0.671
0.113 0.448 0.163
0.552 0.715 0.665
0.698 0.035 0.835
0.622 0.952 0.523
0.758 0.487 0.709
0.285 0.950 0.837
0.950 0.242 0.729
0.901 0.378 0.329
0.263 0.252 0.569
0.683 0.694 0.431
0.050 0.887 0.335
0.306 0.737 0.989
0.748 0.317 0.011
0.750 0.250 0.500
0.200 0.863 0.165
0.349 0.372 0.171
0.737 0.529 0.229
0.502 0.433 0.489
0.429 0.099 0.477
0.567 0.056 0.069
0.492 0.263 0.791
0.987 0.498 0.931
0.202 0.179 0.829
0.300 0.508 0.771
0.821 0.651 0.023
0.513 0.221 0.271
0.628 0.798 0.977
0.137 0.302 0.337
0.471 0.700 0.209
0.965 0.800 0.663
0.944 0.013 0.511
0.779 0.050 0.291
0.500 0.500 0.000
```

---

# 3
This record from the Alexandria database describes a crystal of SrAl2Pd2 relaxed with PBEsol. The functional is meta-GGA SCAN.

Summary:
* space group: I4/mmm (139)
* formation energy: -0.863 eV/atom

POSCAR file:
```
SrAl2Pd2
1.0
4.203 0.000 0.000
0.000 4.203 0.000
-2.101 -2.101 5.575
Al Pd Sr
2 2 1
Direct
0.750 0.250 0.500
0.250 0.750 0.500
0.375 0.375 0.750
0.625 0.625 0.250
0.000 0.000 0.000
```

---

# 4
This record from the Alexandria database describes a crystal of SrAl3Pd relaxed with PBEsol. The functional is meta-GGA SCAN.

Summary:
* space group: Pm-3m (221)
* formation energy: 1.874 eV/atom

POSCAR file:
```
SrAl3Pd
1.0
-5.021 1.860 -1.330
-1.994 -5.132 0.352
-1.119 0.801 5.342
Al Pd Sr
3 1 1
Direct
0.000 0.500 0.000
0.000 0.000 0.500
0.500 0.000 0.000
0.500 0.500 0.500
0.000 0.000 0.000
```

---

no.,uncorrected energy (eV/atom)
1,-20.248
2,-15.527
3,-21.528
4,-13.787